# RbZnAgI4

RbZnAgI4 after structural relaxation (GGA-PBE, Alexandria).

Cell lengths 7.195, 8.752, 9.980 Å; angles 90.00, 103.98, 90.00 degrees
Sites, in units of the cell vectors:
I  0.968  0.986  0.276
I  0.032  0.014  0.724
I  0.496  0.750  0.525
I  0.360  0.750  0.086
I  0.504  0.250  0.475
I  0.968  0.514  0.276
I  0.032  0.486  0.724
I  0.640  0.250  0.914
Ag  0.707  0.750  0.322
Ag  0.293  0.250  0.678
Zn  0.207  0.750  0.308
Zn  0.793  0.250  0.692
Rb  0.789  0.750  0.932
Rb  0.211  0.250  0.068

Calculated values
* formation energy (no corrections): -0.7340 eV/atom
* space-group type: P2_1/m
* calculated volume: 43.6 A^3/atom
* raw total energy: -2.35 eV/atom